[1]
# Ta5CoRe4, optimized geometry, DFT PBE
data_Ta5CoRe4
_cell_length_a 3.1957
_cell_length_b 3.1957
_cell_length_c 15.7792
_cell_angle_alpha 90.00
_cell_angle_beta 90.00
_cell_angle_gamma 90.00
_symmetry_space_group_name_H-M 'P 4/m m m'
_symmetry_Int_Tables_number 123
_symmetry_space_group_name_Hall '-P 4 2'
loop_
_atom_site_label
_atom_site_type_symbol
_atom_site_fract_x
_atom_site_fract_y
_atom_site_fract_z
_atom_site_occupancy
Ta1 Ta 0.0000 0.0000 0.0000 1
Ta2 Ta 0.0000 0.0000 0.2031 1
Ta3 Ta 0.0000 0.0000 0.4046 1
Co1 Co 0.5000 0.5000 0.5000 1
Re1 Re 0.5000 0.5000 0.1017 1
Re2 Re 0.5000 0.5000 0.3057 1
# Formation enthalpy at 0 K: -0.352 eV/atom
# Magnetization: 1.7 μB per cell
# DOS at the Fermi energy: 3.6 states/eV/f.u.



[2]
# Tb2Ho6Tm, optimized geometry, DFT PBE
data_Tb2Ho6Tm
_cell_length_a 10.5561
_cell_length_b 10.5561
_cell_length_c 4.9814
_cell_angle_alpha 90.00
_cell_angle_beta 90.00
_cell_angle_gamma 90.00
_symmetry_space_group_name_H-M 'P 42/m n m'
_symmetry_Int_Tables_number 136
_symmetry_space_group_name_Hall '-P 4n 2n'
loop_
_atom_site_label
_atom_site_type_symbol
_atom_site_fract_x
_atom_site_fract_y
_atom_site_fract_z
_atom_site_occupancy
Tb1 Tb 0.1664 0.1664 0.0000 1
Ho1 Ho 0.0003 0.3331 0.5000 1
Ho2 Ho 0.1665 0.8335 0.0000 1
Tm1 Tm 0.0000 0.0000 0.5000 1
# Formation enthalpy at 0 K: 0.020 eV/atom
# Magnetization: 0.0 μB per cell
# Energy relative to the lowest polymorph listed for this composition: 0.002 eV/atom
# DOS at the Fermi energy: 11.1 states/eV/f.u.



[3]
# Tl2InW, optimized geometry, DFT PBE
data_Tl2InW
_cell_length_a 4.3448
_cell_length_b 4.3448
_cell_length_c 9.3916
_cell_angle_alpha 90.00
_cell_angle_beta 90.00
_cell_angle_gamma 90.00
_symmetry_space_group_name_H-M 'I 4/m m m'
_symmetry_Int_Tables_number 139
_symmetry_space_group_name_Hall '-I 4 2'
loop_
_atom_site_label
_atom_site_type_symbol
_atom_site_fract_x
_atom_site_fract_y
_atom_site_fract_z
_atom_site_occupancy
Tl1 Tl 0.0000 0.5000 0.2500 1
In1 In 0.0000 0.0000 0.0000 1
W1 W 0.0000 0.0000 0.5000 1
# Formation enthalpy at 0 K: 0.943 eV/atom
# Magnetization: 1.7 μB per cell
# Energy relative to the lowest polymorph listed for this composition: 0.326 eV/atom
# DOS at the Fermi energy: 2.6 states/eV/f.u.



> Which formula does entry 2 have?

Tb2Ho6Tm



Copy entry 2 word for word.
# Tb2Ho6Tm, optimized geometry, DFT PBE
data_Tb2Ho6Tm
_cell_length_a 10.5561
_cell_length_b 10.5561
_cell_length_c 4.9814
_cell_angle_alpha 90.00
_cell_angle_beta 90.00
_cell_angle_gamma 90.00
_symmetry_space_group_name_H-M 'P 42/m n m'
_symmetry_Int_Tables_number 136
_symmetry_space_group_name_Hall '-P 4n 2n'
loop_
_atom_site_label
_atom_site_type_symbol
_atom_site_fract_x
_atom_site_fract_y
_atom_site_fract_z
_atom_site_occupancy
Tb1 Tb 0.1664 0.1664 0.0000 1
Ho1 Ho 0.0003 0.3331 0.5000 1
Ho2 Ho 0.1665 0.8335 0.0000 1
Tm1 Tm 0.0000 0.0000 0.5000 1
# Formation enthalpy at 0 K: 0.020 eV/atom
# Magnetization: 0.0 μB per cell
# Energy relative to the lowest polymorph listed for this composition: 0.002 eV/atom
# DOS at the Fermi energy: 11.1 states/eV/f.u.



> Among the records above, which one has the lowest magnetization?

Tb2Ho6Tm